# SCAN La2SiRu, single point on PBEsol structure
# - E: -133.39 eV per cell
# - E_form (uncorrected): -0.584 eV/atom
data_La2SiRu
_cell_length_a 4.173
_cell_length_b 4.173
_cell_length_c 7.823
_cell_angle_alpha 74.53
_cell_angle_beta 74.53
_cell_angle_gamma 60.00
_space_group_name_H-M_alt 'P 1'
_space_group_IT_number 1
_space_group_name_Hall 'P 1'
loop_
_atom_site_label
_atom_site_fract_x
_atom_site_fract_y
_atom_site_fract_z
_atom_site_occupancy
Ru1 0.542 0.542 0.375 1
Si1 0.208 0.208 0.375 1
La1 0.959 0.959 0.122 1
La2 0.791 0.791 0.627 1